# CoTc2Pt

An optimized crystal structure of CoTc2Pt (PBE-GGA, the Alexandria database).

## Properties
Calculated density = 13.27 Mg/m³
Energy relative to the elements = 111 meV per atom
Crystal system = tetragonal
Polymorph energy (0 for the lowest one) = 0.160 eV/atom

Cell: 3.148 3.148 5.682 Å, 90.00 90.00 90.00°
Space group P4mm (No. 99)
Unique sites:
1 Co 0.000 0.000 0.000 (multiplicity 1)
2 Tc 0.000 0.000 0.531 (multiplicity 1)
3 Tc 0.500 0.500 0.782 (multiplicity 1)
4 Pt 0.500 0.500 0.243 (multiplicity 1)



# CsLi3Tc

An optimized crystal structure of CsLi3Tc (PBE-GGA, the Alexandria database).

## Properties
Calculated density = 3.08 Mg/m³
Energy relative to the elements = 1618 meV per atom
Crystal system = cubic
Polymorph energy (0 for the lowest one) = 0.688 eV/atom

Cell: 5.138 5.138 5.138 Å, 90.00 90.00 90.00°
Space group Pm-3m (No. 221)
Unique sites:
1 Cs 0.000 0.000 0.000 (multiplicity 1)
2 Li 0.000 0.000 0.500 (multiplicity 3)
3 Tc 0.500 0.500 0.500 (multiplicity 1)



# LiPuH6Ir

An optimized crystal structure of LiPuH6Ir (PBE-GGA, the Alexandria database).

## Properties
Calculated density = 9.44 Mg/m³
Calculated total energy = -5.33 eV/atom
Crystal system = hexagonal

Cell: 4.5699 4.5699 4.3669 Å, 90.00 90.00 120.00°
Space group P-6m2 (No. 187)
Unique sites:
1 Li 0.0000 0.0000 0.0000 (multiplicity 1)
2 Pu 0.6667 0.3333 0.5000 (multiplicity 1)
3 H 0.1789 0.3578 0.2712 (multiplicity 6)
4 Ir 0.3333 0.6667 0.0000 (multiplicity 1)



# MnOs2Au

An optimized crystal structure of MnOs2Au (PBE-GGA, the Alexandria database).

## Properties
Calculated density = 17.52 Mg/m³
Energy relative to the elements = 474 meV per atom
Crystal system = monoclinic
Polymorph energy (0 for the lowest one) = 0.249 eV/atom

Cell: 2.750 4.205 5.274 Å, 90.00 100.69 90.00°
Space group P2/m (No. 10)
Unique sites:
1 Mn 0.000 0.000 0.000 (multiplicity 1)
2 Os 0.367 0.500 0.225 (multiplicity 2)
3 Au 0.000 0.000 0.500 (multiplicity 1)



# BeCr2Mo

An optimized crystal structure of BeCr2Mo (PBE-GGA, the Alexandria database).

## Properties
Calculated density = 7.14 Mg/m³
Energy relative to the elements = 128 meV per atom
Crystal system = monoclinic

Cell: 2.534 4.017 4.863 Å, 90.00 100.96 90.00°
Space group Pm (No. 6)
Unique sites:
1 Be 0.000 0.000 0.000 (multiplicity 1)
2 Cr 0.592 0.000 0.471 (multiplicity 1)
3 Cr 0.820 0.500 0.250 (multiplicity 1)
4 Mo 0.331 0.500 0.754 (multiplicity 1)



# Pr5HoSe6

An optimized crystal structure of Pr5HoSe6 (PBE-GGA, the Alexandria database).

## Properties
Calculated density = 6.94 Mg/m³
Crystal system = monoclinic
Formation energy without anion corrections = -1.83 eV per atom

Cell: 7.332 12.709 7.320 Å, 90.00 109.54 90.00°
Space group C2/m (No. 12)
Unique sites:
1 Pr 0.000 0.000 0.000 (multiplicity 2)
2 Pr 0.000 0.168 0.500 (multiplicity 4)
3 Pr 0.000 0.326 0.000 (multiplicity 4)
4 Ho 0.000 0.500 0.500 (multiplicity 2)
5 Se 0.239 0.500 0.253 (multiplicity 4)
6 Se 0.241 0.340 0.742 (multiplicity 8)



no.,D(E_F) (states/eV/f.u.)
1,4.8
2,5.2
3,13.8
4,3.1
5,2.4
6,5.0